No. 1
DFT (GGA-PBE) results for an optimized crystal structure of Pa2Sb2H3.

a = 3.9197 Å, b = 5.9870 Å, c = 6.3487 Å
α = 115.20°, β = 90.00°, γ = 109.11°
With the nearest neighbours (Å) after each atom.
Positions (direct):
Sb1 0.8694 0.7388 0.2629  3 H 2.89-2.96, 4 Pa 3.12-3.22, 1 Sb 3.13
Sb2 0.1306 0.2612 0.7371  3 H 2.89-2.96, 4 Pa 3.12-3.22, 1 Sb 3.13
H1 0.5000 0.0000 0.0000  2 H 2.49, 4 Pa 2.59
H2 0.6676 0.3352 0.4231  3 Pa 2.20-2.23
H3 0.3324 0.6648 0.5769  3 Pa 2.20-2.23
Pa1 0.8513 0.7027 0.7575  3 H 2.20-2.23
Pa2 0.1487 0.2973 0.2425  3 H 2.20-2.23

Properties
Space group: C2/m, No. 12
Energy, eV per atom: -5.60



No. 2
DFT (GGA-PBE) results for an optimized crystal structure of Y6Ge2PbS3.

a = 4.0717 Å, b = 8.2878 Å, c = 9.2003 Å
α = 103.46°, β = 102.78°, γ = 90.00°
With the nearest neighbours (Å) after each atom.
Positions (direct):
Y1 0.6691 0.5809 0.3383  3 Ge 2.88-2.89, 3 S 2.91-2.95
Y2 0.3309 0.4191 0.6617  3 Ge 2.88-2.89, 3 S 2.91-2.95
Y3 0.6737 0.0905 0.3475  3 S 2.78-2.94, 2 Ge 2.88, 1 Pb 3.03
Y4 0.3263 0.9095 0.6525  3 S 2.78-2.94, 2 Ge 2.88, 1 Pb 3.03
Y5 0.9997 0.2706 0.9994  3 S 2.78-2.90, 1 Ge 2.90, 2 Pb 3.03
Y6 0.0003 0.7294 0.0006  3 S 2.78-2.90, 1 Ge 2.90, 2 Pb 3.03
Pb1 0.5000 0.0000 0.0000  6 Y 3.03
S1 0.8333 0.1689 0.6667  6 Y 2.78-2.94
S2 0.1667 0.8311 0.3333  6 Y 2.78-2.94
S3 0.5000 0.5000 0.0000  6 Y 2.78-2.95
Ge1 0.1657 0.3324 0.3314  6 Y 2.88-2.90
Ge2 0.8343 0.6676 0.6686  6 Y 2.88-2.90

Properties
Space group: C2/m, No. 12
Uncorrected formation energy, meV per atom: -1368
Energy, eV per atom: -6.71



No. 3
DFT (GGA-PBE) results for an optimized crystal structure of ZrAl2Cu.

a = 9.1579 Å, b = 9.1579 Å, c = 9.1579 Å
α = 18.64°, β = 18.64°, γ = 18.64°
With the nearest neighbours (Å) after each atom.
Positions (direct):
Cu1 0.2500 0.2500 0.2500  6 Al 2.64
Al1 0.5091 0.5091 0.5091  3 Cu 2.64
Al2 0.9909 0.9909 0.9909  3 Cu 2.64
Zr1 0.7500 0.7500 0.7500  6 Zr 2.97, 6 Al 3.03

Properties
DFT formation energy, eV per atom: -0.112
Space group: R-3m, No. 166
Energy, eV per atom: -5.14



No. 4
DFT (GGA-PBE) results for an optimized crystal structure of Cr4Cu3.

a = 4.6218 Å, b = 4.6218 Å, c = 4.5134 Å
α = 90.00°, β = 90.00°, γ = 120.00°
With the nearest neighbours (Å) after each atom.
Positions (direct):
Cu1 0.5000 0.0000 0.0000  4 Cu 2.31
Cu2 0.5000 0.5000 0.0000  4 Cu 2.31
Cu3 0.0000 0.5000 0.0000  4 Cu 2.31
Cr1 0.0000 0.0000 0.7145  1 Cr 1.94
Cr2 0.0000 0.0000 0.2855  1 Cr 1.94
Cr3 0.6667 0.3333 0.5000  6 Cu 2.62, 9 Cr 2.67-2.84
Cr4 0.3333 0.6667 0.5000  6 Cu 2.62, 9 Cr 2.67-2.84

Properties
DFT formation energy, eV per atom: 0.362
Polymorph energy (0 for the lowest one), meV per atom: 116
Space group: P6/mmm, No. 191
Energy, eV per atom: -6.89



No. 5
DFT (GGA-PBE) results for an optimized crystal structure of Al2VOs3.

a = 3.0215 Å, b = 3.0215 Å, c = 9.0443 Å
α = 90.00°, β = 90.00°, γ = 90.00°
With the nearest neighbours (Å) after each atom.
Positions (direct):
Al1 0.5000 0.5000 0.1624  8 Os 2.59-2.66
Al2 0.5000 0.5000 0.8376  8 Os 2.59-2.66
Os1 0.0000 0.0000 0.0000  8 Al 2.59
Os2 0.0000 0.0000 0.3376  4 V 2.59, 4 Al 2.66
Os3 0.0000 0.0000 0.6624  4 V 2.59, 4 Al 2.66
V1 0.5000 0.5000 0.5000  8 Os 2.59

Properties
DFT formation energy, eV per atom: -0.432
Space group: P4/mmm, No. 123
Energy, eV per atom: -8.81



No. 6
DFT (GGA-PBE) results for an optimized crystal structure of NdAgRhPb.

a = 4.9937 Å, b = 4.9937 Å, c = 4.9937 Å
α = 60.00°, β = 60.00°, γ = 60.00°
With the nearest neighbours (Å) after each atom.
Positions (direct):
Ag1 0.2500 0.2500 0.2500  4 Pb 3.06, 4 Nd 3.06
Nd1 0.0000 0.0000 0.0000  4 Rh 3.06, 4 Ag 3.06
Pb1 0.5000 0.5000 0.5000  4 Rh 3.06, 4 Ag 3.06
Rh1 0.7500 0.7500 0.7500  4 Nd 3.06, 4 Pb 3.06

Properties
DFT formation energy, eV per atom: -0.298
Space group: F-43m, No. 216
Energy, eV per atom: -4.97



No. 7
DFT (GGA-PBE) results for an optimized crystal structure of KPIr2.

a = 5.3175 Å, b = 5.3175 Å, c = 2.6753 Å
α = 90.00°, β = 90.00°, γ = 114.35°
With the nearest neighbours (Å) after each atom.
Positions (direct):
Ir1 0.5000 0.5000 0.0000  4 Ir 2.68-2.88, 4 K 2.98, 4 P 2.98
Ir2 0.0000 0.0000 0.0000  4 Ir 2.68-2.88, 4 P 2.98, 4 K 2.98
K1 0.5000 0.0000 0.5000  2 K 2.68, 2 P 2.88, 8 Ir 2.98
P1 0.0000 0.5000 0.5000  2 P 2.68, 2 K 2.88, 8 Ir 2.98

Properties
DFT formation energy, eV per atom: 1.061
Space group: Cmmm, No. 65
Energy, eV per atom: -5.00



No. 8
DFT (GGA-PBE) results for an optimized crystal structure of BaLiGaHg2.

a = 5.1855 Å, b = 5.1855 Å, c = 5.0531 Å
α = 90.00°, β = 90.00°, γ = 90.00°
With the nearest neighbours (Å) after each atom.
Positions (direct):
Ga1 0.0000 0.0000 0.5000  2 Li 2.53
Hg1 0.5000 0.0000 0.0000  2 Li 2.59
Hg2 0.0000 0.5000 0.0000  2 Li 2.59
Ba1 0.5000 0.5000 0.5000  8 Hg 3.62, 4 Ga 3.67
Li1 0.0000 0.0000 0.0000  2 Ga 2.53, 4 Hg 2.59

Properties
DFT formation energy, eV per atom: -0.280
Space group: P4/mmm, No. 123
Energy, eV per atom: -1.77



What is the energy in the third record? -5.14 eV per atom



What is the energy in the sixth record? -4.97 eV per atom



What is the energy in the first record? -5.60 eV per atom



Number 1 is which compound? Pa2Sb2H3